Record 1
LiSb2PI: optimized geometry, PBE.

Results
ρ, g/cm³: 4.28
Total magnetization, μB/cell: 0.000
Energy above the lowest structure with this stoichiometry, eV/f.u.: 0.00
ΔE_f (raw), meV/atom: 368.4
Uncorrected energy, eV per atom: -3.0553

abc: 5.189 5.189 5.882
angles: 90.00 90.00 90.00
Space group P4/mmm (No. 123)
Asymmetric unit:
1 Li 0.000 0.000 0.000 x1
2 Sb 0.000 0.500 0.500 x2
3 P 0.500 0.500 0.500 x1
4 I 0.500 0.500 0.000 x1

---

Record 2
LiSbPI2: optimized geometry, PBE.

Results
ρ, g/cm³: 3.89
Total magnetization, μB/cell: 0.419
Energy above the lowest structure with this stoichiometry, eV/f.u.: 0.00
ΔE_f (raw), meV/atom: 188.9
Uncorrected energy, eV per atom: -2.7204

abc: 5.882 5.882 5.106
angles: 90.00 90.00 90.00
Space group P4/mmm (No. 123)
Asymmetric unit:
1 Li 0.000 0.000 0.000 x1
2 Sb 0.500 0.500 0.000 x1
3 P 0.500 0.500 0.500 x1
4 I 0.000 0.500 0.500 x2

---

Record 3
LiSb2PI: optimized geometry, PBE.

Results
ρ, g/cm³: 5.28
Total magnetization, μB/cell: 0.000
Energy above the lowest structure with this stoichiometry, eV/f.u.: 1.57
ΔE_f (raw), meV/atom: 682.7
Uncorrected energy, eV per atom: -2.7410

abc: 5.090 5.090 4.960
angles: 90.00 90.00 90.00
Space group P4/mmm (No. 123)
Asymmetric unit:
1 Li 0.000 0.000 0.000 x1
2 Sb 0.000 0.500 0.000 x2
3 P 0.500 0.500 0.500 x1
4 I 0.000 0.000 0.500 x1

---

Record 4
LiPSe2I: optimized geometry, PBE.

Results
ρ, g/cm³: 3.38
Total magnetization, μB/cell: 1.681
ΔE_f (raw), meV/atom: 796.8
Uncorrected energy, eV per atom: -2.3718

abc: 5.659 5.659 4.945
angles: 90.00 90.00 90.00
Space group P4/mmm (No. 123)
Asymmetric unit:
1 Li 0.000 0.000 0.000 x1
2 P 0.500 0.500 0.000 x1
3 Se 0.000 0.500 0.500 x2
4 I 0.000 0.000 0.500 x1

---

Record 5
SrLiP2I: optimized geometry, PBE.

Results
ρ, g/cm³: 3.34
Total magnetization, μB/cell: 0.000
ΔE_f (raw), meV/atom: 88.8
Uncorrected energy, eV per atom: -3.1043

abc: 5.465 5.465 4.721
angles: 90.00 90.00 90.00
Space group P4/mmm (No. 123)
Asymmetric unit:
1 Sr 0.000 0.000 0.000 x1
2 Li 0.500 0.500 0.000 x1
3 P 0.000 0.500 0.500 x2
4 I 0.500 0.500 0.500 x1

---

Record 6
SrLi2PI: optimized geometry, PBE.

Results
ρ, g/cm³: 3.03
Total magnetization, μB/cell: 0.000
ΔE_f (raw), meV/atom: -967.2
Uncorrected energy, eV per atom: -3.4611

abc: 4.866 4.866 6.008
angles: 90.00 90.00 90.00
Space group P4/mmm (No. 123)
Asymmetric unit:
1 Sr 0.000 0.000 0.000 x1
2 Li 0.000 0.500 0.500 x2
3 P 0.000 0.000 0.500 x1
4 I 0.500 0.500 0.000 x1

---

Record 7
Sr2LiPI: optimized geometry, PBE.

Results
ρ, g/cm³: 3.33
Total magnetization, μB/cell: 0.628
ΔE_f (raw), meV/atom: -900.0
Uncorrected energy, eV per atom: -3.3475

abc: 5.994 5.994 4.714
angles: 90.00 90.00 90.00
Space group P4/mmm (No. 123)
Asymmetric unit:
1 Sr 0.000 0.500 0.000 x2
2 Li 0.000 0.000 0.500 x1
3 P 0.000 0.000 0.000 x1
4 I 0.500 0.500 0.500 x1

---

Record 8
LiZnPI2: optimized geometry, PBE.

Results
ρ, g/cm³: 3.87
Total magnetization, μB/cell: 0.000
ΔE_f (raw), meV/atom: 60.8
Uncorrected energy, eV per atom: -2.2787

abc: 5.610 5.610 4.873
angles: 90.00 90.00 90.00
Space group P4/mmm (No. 123)
Asymmetric unit:
1 Li 0.000 0.000 0.000 x1
2 Zn 0.500 0.500 0.000 x1
3 P 0.000 0.000 0.500 x1
4 I 0.000 0.500 0.500 x2